Arrangement one

The following is a DFT calculation (PBE-GGA) of a relaxed BH3I crystal.

Cell and atoms, written as CIF:
```
data_BH3I
_chemical_formula_sum 'B6 H18 I6'
_cell_length_a 5.9936
_cell_length_b 5.9936
_cell_length_c 13.5821
_cell_angle_alpha 90.00
_cell_angle_beta 90.00
_cell_angle_gamma 120.00
_space_group_name_H-M_alt 'R -3 m'
_space_group_IT_number 166
_space_group_name_Hall '-R 3 2"'
loop_
_atom_site_label
_atom_site_type_symbol
_atom_site_fract_x
_atom_site_fract_y
_atom_site_fract_z
B1 B 0.0000 0.0000 0.1524
H1 H 0.1057 0.5528 0.7997
I1 I 0.0000 0.0000 0.3202
```


Arrangement two

The following is a DFT calculation (PBE-GGA) of a relaxed BH3I crystal.

Cell and atoms, written as CIF:
```
data_BH3I
_chemical_formula_sum 'B1 H3 I1'
_cell_length_a 4.0347
_cell_length_b 4.0347
_cell_length_c 4.0347
_cell_angle_alpha 90.00
_cell_angle_beta 90.00
_cell_angle_gamma 90.00
_space_group_name_H-M_alt 'P m -3 m'
_space_group_IT_number 221
_space_group_name_Hall '-P 4 2 3'
loop_
_atom_site_label
_atom_site_type_symbol
_atom_site_fract_x
_atom_site_fract_y
_atom_site_fract_z
B1 B 0.0000 0.0000 0.0000
H1 H 0.0000 0.5000 0.5000
I1 I 0.5000 0.5000 0.5000
```


Which structure is the least stable? The one labeled arrangement two.